A.
First-principles (PBE) data for an optimized crystal structure of Nb2GaOs2, as listed in the Alexandria database.

Geometry as POSCAR:
```
Nb2GaOs2
1.0
-1.1265 7.4066 0.3262
-7.4047 -1.1077 -0.4203
-0.1499 -0.1574 3.0550
Nb Os Ga
4 4 2
direct
0.1632 0.6632 0.5000
0.6632 0.8368 0.5000
0.8368 0.3368 0.5000
0.3368 0.1632 0.5000
0.3657 0.8657 0.0000
0.8657 0.6343 0.0000
0.6343 0.1343 0.0000
0.1343 0.3657 0.0000
0.0000 0.0000 0.0000
0.5000 0.5000 0.0000
```

Properties
Fermi-level density of states ... 4.423 states/eV/f.u.

B.
First-principles (PBE) data for an optimized crystal structure of Nb2GaOs2, as listed in the Alexandria database.

Geometry as POSCAR:
```
Nb2GaOs2
1.0
-1.4443 4.6392 5.9427
5.9150 -3.0544 3.8220
1.8226 2.0658 -1.1697
Nb Os Ga
4 4 2
direct
0.3443 0.8443 0.0000
0.8443 0.6557 0.0000
0.6557 0.1557 0.0000
0.1557 0.3443 0.0000
0.1369 0.6369 0.5000
0.6369 0.8631 0.5000
0.8631 0.3631 0.5000
0.3631 0.1369 0.5000
0.0000 0.0000 0.0000
0.5000 0.5000 0.0000
```

Properties
Fermi-level density of states ... 3.128 states/eV/f.u.

Which one is most stable, and which one is least stable? A is the most stable of them, while B is the least stable.

A.
First-principles (PBE) data for an optimized crystal structure of SrNbGaOs2, as listed in the Alexandria database.

Geometry as POSCAR:
```
SrNbGaOs2
1.0
-3.7903 -2.7085 1.4048
3.0761 -3.0420 2.4347
-0.4675 2.7294 4.0010
Sr Nb Os Ga
1 1 2 1
direct
0.0000 0.0000 0.0000
0.0000 0.5000 0.0000
0.0000 0.0000 0.5000
0.5000 0.0000 0.0000
0.5000 0.5000 0.5000
```

Properties
Fermi-level density of states ... 7.121 states/eV/f.u.

B.
First-principles (PBE) data for an optimized crystal structure of SrNbGaOs2, as listed in the Alexandria database.

Geometry as POSCAR:
```
SrNbGaOs2
1.0
-2.1587 1.0988 -3.9706
4.2555 -0.7938 -2.5333
-1.1834 -4.4591 -0.5907
Sr Nb Os Ga
1 1 2 1
direct
0.0000 0.5000 0.0000
0.5000 0.5000 0.5000
0.0000 0.0000 0.5000
0.5000 0.0000 0.0000
0.0000 0.0000 0.0000
```

Properties
Fermi-level density of states ... 5.458 states/eV/f.u.

Which one is most stable, and which one is least stable? B is the most stable of them, while A is the least stable.

A.
First-principles (PBE) data for an optimized crystal structure of NbGaP3, as listed in the Alexandria database.

Geometry as POSCAR:
```
NbGaP3
1.0
-1.9821 4.0749 -0.5390
-3.4084 -1.9639 -2.3131
-2.2975 -0.6021 3.8966
P Nb Ga
3 1 1
direct
0.0000 0.5000 0.0000
0.0000 0.0000 0.5000
0.5000 0.0000 0.0000
0.5000 0.5000 0.5000
0.0000 0.0000 0.0000
```

Properties
Fermi-level density of states ... 5.445 states/eV/f.u.

B.
First-principles (PBE) data for an optimized crystal structure of NbGaP3, as listed in the Alexandria database.

Geometry as POSCAR:
```
NbGaP3
1.0
-4.3391 1.7067 1.3484
0.9188 -1.2891 4.5883
1.9715 4.3571 0.8293
P Nb Ga
3 1 1
direct
0.0000 0.5000 0.0000
0.0000 0.0000 0.5000
0.5000 0.0000 0.0000
0.0000 0.0000 0.0000
0.5000 0.5000 0.5000
```

Properties
Fermi-level density of states ... 3.453 states/eV/f.u.

Which one is most stable, and which one is least stable? B is the most stable of them, while A is the least stable.

A.
First-principles (PBE) data for an optimized crystal structure of NbGaPS2, as listed in the Alexandria database.

Geometry as POSCAR:
```
NbGaPS2
1.0
-0.4379 -1.8127 4.1728
4.5173 0.3249 0.6152
-0.5454 4.2205 1.7761
P Nb S Ga
1 1 2 1
direct
0.0000 0.0000 0.5000
0.5000 0.5000 0.5000
0.0000 0.5000 0.0000
0.5000 0.0000 0.0000
0.0000 0.0000 0.0000
```

Properties
Fermi-level density of states ... 6.137 states/eV/f.u.

B.
First-principles (PBE) data for an optimized crystal structure of NbGaPS2, as listed in the Alexandria database.

Geometry as POSCAR:
```
NbGaPS2
1.0
4.8268 0.0000 0.0000
0.0000 4.9218 0.0000
0.0000 0.0000 4.8268
P Nb S Ga
1 1 2 1
direct
0.0000 0.5000 0.0000
0.0000 0.0000 0.0000
0.0000 0.0000 0.5000
0.5000 0.0000 0.0000
0.5000 0.5000 0.5000
```

Properties
Fermi-level density of states ... 3.438 states/eV/f.u.

Which one is most stable, and which one is least stable? B is the most stable of them, while A is the least stable.

A.
First-principles (PBE) data for an optimized crystal structure of NbGaP2S, as listed in the Alexandria database.

Geometry as POSCAR:
```
NbGaP2S
1.0
-2.8570 0.5846 3.9267
-3.9122 -1.2369 -2.6623
0.6605 -4.5959 1.1648
P Nb S Ga
2 1 1 1
direct
0.0000 0.5000 0.0000
0.5000 0.0000 0.0000
0.0000 0.0000 0.0000
0.0000 0.0000 0.5000
0.5000 0.5000 0.5000
```

Properties
Fermi-level density of states ... 3.614 states/eV/f.u.

B.
First-principles (PBE) data for an optimized crystal structure of NbGaP2S, as listed in the Alexandria database.

Geometry as POSCAR:
```
NbGaP2S
1.0
4.5596 0.0000 0.0000
0.0000 4.5596 0.0000
0.0000 0.0000 4.6937
P Nb S Ga
2 1 1 1
direct
0.0000 0.5000 0.0000
0.5000 0.0000 0.0000
0.5000 0.5000 0.5000
0.0000 0.0000 0.5000
0.0000 0.0000 0.0000
```

Properties
Fermi-level density of states ... 6.242 states/eV/f.u.

Which one is most stable, and which one is least stable? A is the most stable of them, while B is the least stable.

A.
First-principles (PBE) data for an optimized crystal structure of Pa2NbGa, as listed in the Alexandria database.

Geometry as POSCAR:
```
Pa2NbGa
1.0
-3.1521 -0.2981 -3.8954
1.7269 -1.2923 -4.5328
-1.1667 -4.4771 -1.9477
Nb Pa Ga
1 2 1
direct
0.0000 0.0000 0.0000
0.2500 0.2500 0.2500
0.7500 0.7500 0.7500
0.5000 0.5000 0.5000
```

Properties
Fermi-level density of states ... 5.970 states/eV/f.u.

B.
First-principles (PBE) data for an optimized crystal structure of Pa2NbGa, as listed in the Alexandria database.

Geometry as POSCAR:
```
Pa2NbGa
1.0
-3.5485 0.4101 2.9171
-1.9069 -3.3646 -1.8466
1.9640 -2.6270 2.7584
Nb Pa Ga
1 2 1
direct
0.5000 0.5000 0.5000
0.0000 0.0000 0.5000
0.0000 0.5000 0.0000
0.5000 0.0000 0.0000
```

Properties
Fermi-level density of states ... 5.946 states/eV/f.u.

C.
First-principles (PBE) data for an optimized crystal structure of Pa2NbGa, as listed in the Alexandria database.

Geometry as POSCAR:
```
Pa2NbGa
1.0
3.7717 0.0000 0.0000
0.0000 3.7717 0.0000
0.0000 0.0000 6.2697
Nb Pa Ga
1 2 1
direct
0.5000 0.5000 0.5000
0.0000 0.0000 0.7696
0.0000 0.0000 0.2304
0.5000 0.5000 0.0000
```

Properties
Fermi-level density of states ... 8.639 states/eV/f.u.

Which one is most stable, and which one is least stable? B is the most stable of them, while A is the least stable.

A.
First-principles (PBE) data for an optimized crystal structure of NbGaPb3, as listed in the Alexandria database.

Geometry as POSCAR:
```
NbGaPb3
1.0
-3.3708 3.9132 1.9845
-4.3863 -2.9456 -1.6422
-0.1049 -2.5737 4.8968
Pb Nb Ga
3 1 1
direct
0.0000 0.5000 0.0000
0.0000 0.0000 0.5000
0.5000 0.0000 0.0000
0.0000 0.0000 0.0000
0.5000 0.5000 0.5000
```

Properties
Fermi-level density of states ... 4.417 states/eV/f.u.

B.
First-principles (PBE) data for an optimized crystal structure of NbGaPb3, as listed in the Alexandria database.

Geometry as POSCAR:
```
NbGaPb3
1.0
-4.7721 2.2611 1.1585
-2.1885 -4.9106 0.5691
1.2904 0.0334 5.2499
Pb Nb Ga
3 1 1
direct
0.0000 0.5000 0.0000
0.0000 0.0000 0.5000
0.5000 0.0000 0.0000
0.5000 0.5000 0.5000
0.0000 0.0000 0.0000
```

Properties
Fermi-level density of states ... 5.407 states/eV/f.u.

Which one is most stable, and which one is least stable? A is the most stable of them, while B is the least stable.

A.
First-principles (PBE) data for an optimized crystal structure of NbGa2Pb2, as listed in the Alexandria database.

Geometry as POSCAR:
```
NbGa2Pb2
1.0
-1.1061 2.0816 -2.7580
-3.0296 0.8083 1.8251
2.1554 8.7126 3.3252
Pb Nb Ga
2 1 2
direct
0.4051 0.4051 0.1897
0.5949 0.5949 0.8103
0.0000 0.0000 0.0000
0.7500 0.2500 0.5000
0.2500 0.7500 0.5000
```

Properties
Fermi-level density of states ... 3.990 states/eV/f.u.

B.
First-principles (PBE) data for an optimized crystal structure of NbGa2Pb2, as listed in the Alexandria database.

Geometry as POSCAR:
```
NbGa2Pb2
1.0
7.6858 0.0000 0.0000
0.0000 7.6858 0.0000
0.0000 0.0000 3.9883
Pb Nb Ga
4 2 4
direct
0.3507 0.8507 0.0000
0.8507 0.6493 0.0000
0.6493 0.1493 0.0000
0.1493 0.3507 0.0000
0.0000 0.0000 0.0000
0.5000 0.5000 0.0000
0.1573 0.6573 0.5000
0.6573 0.8427 0.5000
0.8427 0.3427 0.5000
0.3427 0.1573 0.5000
```

Properties
Fermi-level density of states ... 3.564 states/eV/f.u.

Which one is most stable, and which one is least stable? A is the most stable of them, while B is the least stable.

A.
First-principles (PBE) data for an optimized crystal structure of Nb2GaPbW, as listed in the Alexandria database.

Geometry as POSCAR:
```
Nb2GaPbW
1.0
-1.1842 5.0034 -0.4290
-3.4690 -1.0775 -2.9916
-3.2790 -0.4365 3.9596
Pb Nb Ga W
1 2 1 1
direct
0.0000 0.0000 0.0000
0.0000 0.0000 0.5000
0.5000 0.0000 0.0000
0.0000 0.5000 0.0000
0.5000 0.5000 0.5000
```

Properties
Fermi-level density of states ... 7.032 states/eV/f.u.

B.
First-principles (PBE) data for an optimized crystal structure of Nb2GaPbW, as listed in the Alexandria database.

Geometry as POSCAR:
```
Nb2GaPbW
1.0
-1.0229 0.9236 -4.7329
-4.8090 -2.1933 0.6113
-1.8449 4.3951 1.2564
Pb Nb Ga W
1 2 1 1
direct
0.0000 0.5000 0.0000
0.0000 0.0000 0.5000
0.5000 0.0000 0.0000
0.5000 0.5000 0.5000
0.0000 0.0000 0.0000
```

Properties
Fermi-level density of states ... 5.760 states/eV/f.u.

Which one is most stable, and which one is least stable? B is the most stable of them, while A is the least stable.

A.
First-principles (PBE) data for an optimized crystal structure of PuNb2Ga, as listed in the Alexandria database.

Geometry as POSCAR:
```
PuNb2Ga
1.0
-0.3496 1.9321 -3.1044
-3.4708 -2.5681 -1.2074
-2.8055 2.8185 2.0701
Nb Ga Pu
2 1 1
direct
0.0000 0.0000 0.5000
0.0000 0.5000 0.0000
0.5000 0.5000 0.5000
0.5000 0.0000 0.0000
```

Properties
Fermi-level density of states ... 6.591 states/eV/f.u.

B.
First-principles (PBE) data for an optimized crystal structure of PuNb2Ga, as listed in the Alexandria database.

Geometry as POSCAR:
```
PuNb2Ga
1.0
-2.1093 -1.9965 0.4158
-0.6461 -0.9080 2.7140
-7.9570 6.6501 1.9165
Nb Ga Pu
2 1 1
direct
0.0932 0.0932 0.7204
0.9068 0.9068 0.2796
0.5000 0.5000 0.5000
0.0000 0.0000 0.0000
```

Properties
Fermi-level density of states ... 7.395 states/eV/f.u.

Which one is most stable, and which one is least stable? A is the most stable of them, while B is the least stable.

A.
First-principles (PBE) data for an optimized crystal structure of Rb2Nb2Ga, as listed in the Alexandria database.

Geometry as POSCAR:
```
Rb2Nb2Ga
1.0
-3.2307 -1.6608 -0.7056
-0.1736 -1.1543 3.5115
-7.9052 9.2945 4.6142
Nb Ga Rb
2 1 2
direct
0.7500 0.2500 0.5000
0.2500 0.7500 0.5000
0.0000 0.0000 0.0000
0.3907 0.3907 0.2186
0.6093 0.6093 0.7814
```

Properties
Fermi-level density of states ... 4.562 states/eV/f.u.

B.
First-principles (PBE) data for an optimized crystal structure of Rb2Nb2Ga, as listed in the Alexandria database.

Geometry as POSCAR:
```
Rb2Nb2Ga
1.0
-6.4025 -6.1062 6.8816
8.5189 -7.1009 1.6249
0.9690 1.7175 2.4255
Nb Ga Rb
4 2 4
direct
0.0699 0.5699 0.5000
0.5699 0.9301 0.5000
0.9301 0.4301 0.5000
0.4301 0.0699 0.5000
0.0000 0.0000 0.0000
0.5000 0.5000 0.0000
0.2858 0.7858 0.0000
0.7858 0.7142 0.0000
0.7142 0.2142 0.0000
0.2142 0.2858 0.0000
```

Properties
Fermi-level density of states ... 4.635 states/eV/f.u.

Which one is most stable, and which one is least stable? A is the most stable of them, while B is the least stable.

A.
First-principles (PBE) data for an optimized crystal structure of RbNb3Ga, as listed in the Alexandria database.

Geometry as POSCAR:
```
RbNb3Ga
1.0
5.0266 0.0000 0.0000
0.0000 5.0266 0.0000
0.0000 0.0000 5.0266
Nb Ga Rb
3 1 1
direct
0.0000 0.5000 0.0000
0.0000 0.0000 0.5000
0.5000 0.0000 0.0000
0.0000 0.0000 0.0000
0.5000 0.5000 0.5000
```

Properties
Fermi-level density of states ... 8.444 states/eV/f.u.

B.
First-principles (PBE) data for an optimized crystal structure of RbNb3Ga, as listed in the Alexandria database.

Geometry as POSCAR:
```
RbNb3Ga
1.0
-2.7305 -2.2700 -3.2187
3.7741 -2.6280 -1.3482
-1.1264 -3.3028 3.2849
Nb Ga Rb
3 1 1
direct
0.0000 0.5000 0.0000
0.0000 0.0000 0.5000
0.5000 0.0000 0.0000
0.5000 0.5000 0.5000
0.0000 0.0000 0.0000
```

Properties
Fermi-level density of states ... 5.154 states/eV/f.u.

Which one is most stable, and which one is least stable? A is the most stable of them, while B is the least stable.

A.
First-principles (PBE) data for an optimized crystal structure of Nb2GaRh3, as listed in the Alexandria database.

Geometry as POSCAR:
```
Nb2GaRh3
1.0
3.7340 0.0000 0.0000
0.0000 4.1044 0.0000
0.0000 0.0000 12.2098
Nb Ga Rh
4 2 6
direct
0.9977 0.0000 0.6654
0.9977 0.0000 0.3346
0.0023 0.5000 0.1654
0.0023 0.5000 0.8346
0.9996 0.5000 0.5000
0.0004 0.0000 0.0000
0.5007 0.5000 0.6673
0.4967 0.0000 0.5000
0.5007 0.5000 0.3327
0.4993 0.0000 0.1673
0.5033 0.5000 0.0000
0.4993 0.0000 0.8327
```

Properties
Fermi-level density of states ... 6.944 states/eV/f.u.

B.
First-principles (PBE) data for an optimized crystal structure of Nb2GaRh3, as listed in the Alexandria database.

Geometry as POSCAR:
```
Nb2GaRh3
1.0
5.6844 0.0000 0.0000
0.0000 7.1501 -1.6943
0.0000 -4.5266 5.7882
Nb Ga Rh
4 2 6
direct
0.7610 0.3444 0.6534
0.2610 0.3466 0.6556
0.2610 0.6556 0.3466
0.7610 0.6534 0.3444
0.5148 0.7924 0.7924
0.0148 0.2076 0.2076
0.5109 0.1735 0.8122
0.0109 0.1878 0.8265
0.5092 0.2848 0.2848
0.0092 0.7152 0.7152
0.0109 0.8265 0.1878
0.5109 0.8122 0.1735
```

Properties
Fermi-level density of states ... 5.384 states/eV/f.u.

Which one is most stable, and which one is least stable? A is the most stable of them, while B is the least stable.